Compound: RbCa2BCl
Source: Alexandria
Functional: SCAN
Structure: single point on PBEsol structure

```
RbCa2BCl
1.0
5.096 0.000 0.000
0.000 5.096 0.000
0.000 0.000 6.442
Rb Ca B Cl
1 2 1 1
Cartesian
0.000 0.000 0.000
0.000 2.548 3.221
2.548 0.000 3.221
0.000 0.000 3.221
2.548 2.548 0.000
```

Calculated values
spin magnetization = 1.00 μB/f.u.
ΔE_f (raw) = -177 meV/atom

***

Compound: TcCl3
Source: Alexandria
Functional: SCAN
Structure: single point on PBEsol structure

```
TcCl3
1.0
6.002 0.000 0.000
0.000 9.490 0.000
-1.759 0.000 6.102
Tc Cl
4 12
Cartesian
0.000 1.347 0.000
0.000 8.143 0.000
3.001 3.398 0.000
3.001 6.091 0.000
0.996 3.142 1.275
0.996 6.348 1.275
0.977 0.000 1.580
0.265 4.745 4.522
0.246 1.603 4.828
0.246 7.887 4.828
3.997 1.603 1.275
3.997 7.887 1.275
3.978 4.745 1.580
3.266 0.000 4.522
3.247 3.142 4.828
3.247 6.348 4.828
```

Calculated values
spin magnetization = 1.00 μB/f.u.
E above lowest polymorph = 41 meV per atom
ΔE_f (raw) = -801 meV/atom

***

Compound: ReTc5
Source: Alexandria
Functional: SCAN
Structure: single point on PBEsol structure

```
ReTc5
1.0
2.715 0.000 0.000
0.000 2.715 0.000
0.000 0.000 11.496
Re Tc
1 5
Cartesian
0.000 0.000 0.000
0.000 0.000 3.839
0.000 0.000 7.657
1.358 1.358 1.936
1.358 1.358 5.748
1.358 1.358 9.560
```

Calculated values
spin magnetization = 0.00 μB/f.u.
E above lowest polymorph = 59 meV per atom
DFT formation energy = 56 meV per atom

***

Compound: La2MgRhO6
Source: Alexandria
Functional: SCAN
Structure: single point on PBEsol structure

```
La2MgRhO6
1.0
5.524 0.000 0.000
0.000 5.593 0.000
-5.513 0.000 7.833
La Mg Rh O
4 2 2 12
Cartesian
-0.047 0.245 1.961
-2.804 2.552 5.877
2.815 3.041 1.956
0.059 5.348 5.872
2.762 0.000 0.000
0.006 2.796 3.916
-2.756 0.000 3.916
0.000 2.796 0.000
-4.384 1.195 7.489
-1.627 1.601 3.572
-3.928 3.953 7.491
-1.172 4.437 3.575
-2.305 0.101 5.849
0.451 2.695 1.932
-0.440 2.898 5.900
2.316 5.492 1.984
1.183 1.156 4.258
3.940 1.640 0.341
1.639 3.991 4.261
4.395 4.398 0.344
```

Calculated values
spin magnetization = 1.02 μB/f.u.
ΔE_f (raw) = -2853 meV/atom

***

no.,total energy (eV per cell),calculated volume (Å³ per atom)
1,-56.36,33.5
2,-248.79,21.7
3,-246.06,14.1
4,-381.75,12.1